Entry 1:
Below is a geometry-optimized BeNiGePd structure, with properties calculated at the PBE level.

It has space group F-43m (No. 216), with a = 5.8497 Å, b = 5.8497 Å, c = 5.8497 Å, α = 90.00°, β = 90.00° and γ = 90.00°. Symmetry generates all atoms from Be at (0.0000, 0.0000, 0.0000), Ni at (0.0000, 0.0000, 0.5000), Ge at (0.2500, 0.2500, 0.2500) and Pd at (0.2500, 0.2500, 0.7500).

=====

Entry 2:
Below is a geometry-optimized BeNiGePd structure, with properties calculated at the PBE level.

It has space group F-43m (No. 216), with a = 5.8047 Å, b = 5.8047 Å, c = 5.8047 Å, α = 90.00°, β = 90.00° and γ = 90.00°. Symmetry generates all atoms from Be at (0.0000, 0.0000, 0.0000), Ni at (0.2500, 0.2500, 0.7500), Ge at (0.0000, 0.0000, 0.5000) and Pd at (0.2500, 0.2500, 0.2500).

=====

For reference, ρ by record: 8188, 8380 kg/m³.
For reference, total energy by record: -4.905, -5.064 eV/atom.